1.
Below is a crystal of SrH2IrPd relaxed with PBEsol, with properties calculated at the SCAN level.

* V: 84 Å³/cell
* size of the total moment: 2.21 μB per formula unit
* electronic total energy: -127.55 eV for the cell shown

The structure in POSCAR format:
```
SrH2IrPd
1.0
3.841 0.000 0.000
0.000 3.841 0.000
0.000 0.000 5.720
H Pd Sr Ir
2 1 1 1
Direct
0.000 0.500 0.000
0.500 0.000 0.000
0.000 0.000 0.500
0.000 0.000 0.000
0.500 0.500 0.500
```

2.
Below is a crystal of AsWIBr2 relaxed with PBEsol, with properties calculated at the SCAN level.

* V: 123 Å³/cell
* size of the total moment: 0.00 μB per formula unit
* electronic total energy: -163.42 eV for the cell shown
* formation energy (no corrections): 0.4231 eV/atom

The structure in POSCAR format:
```
AsWIBr2
1.0
-3.859 -0.420 3.057
-2.084 -3.256 -3.078
2.329 -3.778 2.420
I W As Br
1 1 1 2
Direct
0.500 0.500 0.500
0.000 0.000 0.000
0.000 0.000 0.500
0.500 0.000 0.000
0.000 0.500 0.000
```

3.
Below is a crystal of CaFeNi relaxed with PBEsol, with properties calculated at the SCAN level.

* V: 54 Å³/cell
* energy relative to the elements: 67.9 kJ per mole of atoms
* size of the total moment: 3.32 μB per formula unit
* electronic total energy: -41.86 eV for the cell shown

The structure in POSCAR format:
```
CaFeNi
1.0
-3.286 1.814 1.980
-3.951 -0.673 -1.393
-2.678 -2.375 2.280
Ca Fe Ni
1 1 1
Direct
0.500 0.500 0.500
0.250 0.250 0.250
0.000 0.000 0.000
```

4.
Below is a crystal of Cr2ReTc relaxed with PBEsol, with properties calculated at the SCAN level.

* V: 52 Å³/cell
* energy relative to the elements: 5.8 kJ per mole of atoms
* size of the total moment: 0.00 μB per formula unit
* electronic total energy: -142.69 eV for the cell shown

The structure in POSCAR format:
```
Cr2ReTc
1.0
2.592 0.000 -0.001
-0.889 4.773 0.002
-0.889 -2.293 4.186
Cr Re Tc
2 1 1
Direct
0.000 0.000 0.500
0.000 0.500 0.000
0.500 0.000 0.000
0.500 0.500 0.500
```

5.
Below is a crystal of Ba2WCl relaxed with PBEsol, with properties calculated at the SCAN level.

* V: 131 Å³/cell
* size of the total moment: 3.13 μB per formula unit
* electronic total energy: -156.04 eV for the cell shown
* formation energy (no corrections): 0.1812 eV/atom

The structure in POSCAR format:
```
Ba2WCl
1.0
-1.625 1.556 3.966
-4.260 -0.515 -1.543
-0.109 -5.891 2.266
W Cl Ba
1 1 2
Direct
0.500 0.500 0.500
0.000 0.000 0.000
0.000 0.000 0.500
0.500 0.500 0.000
```

6.
Below is a crystal of CdBiBr2 relaxed with PBEsol, with properties calculated at the SCAN level.

* V: 282 Å³/cell
* size of the total moment: 0.00 μB per formula unit
* electronic total energy: -297.32 eV for the cell shown
* formation energy (no corrections): -0.1861 eV/atom

The structure in POSCAR format:
```
CdBiBr2
1.0
6.016 0.000 0.000
3.008 6.851 0.000
3.008 0.000 6.851
Br Cd Bi
4 2 2
Direct
0.026 0.099 0.599
0.375 0.599 0.901
0.724 0.901 0.401
0.875 0.401 0.099
0.250 0.500 0.500
0.500 0.000 0.000
0.000 0.000 0.000
0.750 0.500 0.500
```

7.
Below is a crystal of Zr2Sc relaxed with PBEsol, with properties calculated at the SCAN level.

* V: 135 Å³/cell
* energy relative to the elements: 0.9 kJ per mole of atoms
* size of the total moment: 0.00 μB per formula unit
* electronic total energy: -151.22 eV for the cell shown

The structure in POSCAR format:
```
Zr2Sc
1.0
-1.405 -2.453 1.497
5.399 0.564 2.575
-4.262 4.821 3.898
Zr Sc
4 2
Direct
0.389 0.779 0.281
0.056 0.112 0.612
0.334 0.668 0.667
0.723 0.445 0.943
0.668 0.336 0.333
0.997 0.994 0.998
```

8.
Below is a crystal of PbCl2 relaxed with PBEsol, with properties calculated at the SCAN level.

* V: 181 Å³/cell
* size of the total moment: 0.00 μB per formula unit
* electronic total energy: -190.42 eV for the cell shown
* formation energy (no corrections): -1.1583 eV/atom

The structure in POSCAR format:
```
PbCl2
1.0
4.026 0.000 0.000
-2.013 5.212 0.537
0.000 -1.339 8.487
Cl Pb
4 2
Direct
0.846 0.692 0.375
0.154 0.308 0.625
0.862 0.724 0.899
0.138 0.276 0.101
0.604 0.208 0.823
0.396 0.792 0.177
```